Computed, not measured: crystalline NiGeAs at its relaxed geometry at the PBE level of DFT.

Lattice parameters (Å, degrees): 4.115 4.115 4.115 60.00 60.00 60.00
Fractional positions:
1 Ni 0.000 0.000 0.000
2 Ge 0.250 0.250 0.250
3 As 0.750 0.750 0.750

Values from the calculation:
Space group: F-43m
Energy of formation from the pure elements: -0.140 eV/atom
Volume: 16.42 Å³ per atom